# 1
The following is a DFT calculation (PBE) of an optimized crystal structure of La4Pr2Sn3H2.

a b c (Å): 13.617 13.617 13.617
angles (deg): 159.34 159.34 29.38
Fractional positions:
La: 0.083 0.583 0.500
La: 0.417 0.917 0.500
La: 0.583 0.083 0.500
La: 0.917 0.417 0.500
Pr: 0.202 0.202 0.000
Pr: 0.798 0.798 0.000
Sn: 0.325 0.325 0.000
Sn: 0.500 0.500 0.000
Sn: 0.675 0.675 0.000
H: 0.106 0.106 0.000
H: 0.894 0.894 0.000

* symmetry: I4/mmm
* volume: 314.1 Å³ per cell



# 2
The following is a DFT calculation (PBE) of an optimized crystal structure of La2TbPrH.

a b c (Å): 5.232 5.232 5.143
angles (deg): 90.00 90.00 90.00
Fractional positions:
La: 0.000 0.500 0.000
La: 0.500 0.000 0.000
Tb: 0.000 0.000 0.500
Pr: 0.500 0.500 0.500
H: 0.000 0.000 0.000

* symmetry: P4/mmm
* volume: 140.8 Å³ per cell



Listing raw total energy for the structures above in their given order: -4.9311; -4.7022 eV per atom.